Mn2FeCl | the Alexandria database | GGA-PBE | optimized geometry; energy above the most stable polymorph in this dataset = 0.980 eV/f.u.; formation energy from raw total energies = 0.40 eV/atom; final energy = -6.7617 eV per atom
1.0
-0.128 1.626 2.368
-0.298 -2.801 0.581
7.687 -0.641 0.856
Fe Cl Mn
1 1 2
Direct
0.500 0.500 0.761 Fe
0.000 0.000 0.499 Cl
0.000 0.000 0.992 Mn
0.500 0.500 0.249 Mn

Mn2FeCl | the Alexandria database | GGA-PBE | optimized geometry; energy above the most stable polymorph in this dataset = 1.546 eV/f.u.; formation energy from raw total energies = 0.54 eV/atom; final energy = -6.6202 eV per atom
1.0
5.099 -0.324 0.130
2.260 4.582 -0.130
-3.085 -3.157 2.576
Mn Cl Fe
2 1 1
Direct
0.994 0.994 0.000 Mn
0.506 0.506 0.000 Mn
0.750 0.250 0.500 Cl
0.250 0.750 0.500 Fe

MnFeCl | the Alexandria database | GGA-PBE | optimized geometry; energy above the most stable polymorph in this dataset = 0.000 eV/f.u.; formation energy from raw total energies = 0.26 eV/atom; final energy = -6.2335 eV per atom
1.0
6.450 -0.001 0.001
5.435 2.828 -0.009
1.015 -1.063 2.621
Mn Fe Cl
1 1 1
Direct
0.668 0.668 0.332 Mn
0.334 0.334 0.666 Fe
0.998 0.998 0.002 Cl

MnFe2Cl | the Alexandria database | GGA-PBE | optimized geometry; energy above the most stable polymorph in this dataset = 1.984 eV/f.u.; formation energy from raw total energies = 0.65 eV/atom; final energy = -6.3379 eV per atom
1.0
-0.243 4.010 -2.525
-3.678 -0.150 -2.993
0.372 -0.831 4.656
Cl Fe Mn
1 2 1
Direct
0.750 0.250 0.500 Cl
0.000 0.000 0.000 Fe
0.250 0.750 0.500 Fe
0.500 0.500 0.000 Mn

MnFe2Cl | the Alexandria database | GGA-PBE | optimized geometry; energy above the most stable polymorph in this dataset = 1.864 eV/f.u.; formation energy from raw total energies = 0.62 eV/atom; final energy = -6.3680 eV per atom
1.0
5.245 0.788 0.000
2.263 4.797 0.000
-3.754 -2.792 2.498
Cl Fe Mn
1 2 1
Direct
0.750 0.250 0.500 Cl
0.500 0.500 0.000 Fe
0.000 0.000 0.000 Fe
0.250 0.750 0.500 Mn

MnFe2Cl | the Alexandria database | GGA-PBE | optimized geometry; energy above the most stable polymorph in this dataset = 1.000 eV/f.u.; formation energy from raw total energies = 0.40 eV/atom; final energy = -6.5841 eV per atom
1.0
2.824 -0.006 0.000
-1.162 2.574 0.000
0.000 0.000 7.759
Fe Cl Mn
2 1 1
Direct
0.000 0.000 0.497 Fe
0.000 0.000 0.003 Fe
0.500 0.500 0.750 Cl
0.500 0.500 0.250 Mn

MnFe2Cl | the Alexandria database | GGA-PBE | optimized geometry; energy above the most stable polymorph in this dataset = 0.748 eV/f.u.; formation energy from raw total energies = 0.34 eV/atom; final energy = -6.6471 eV per atom
1.0
-2.133 1.672 3.115
-3.908 0.278 1.303
0.290 -5.249 3.753
Mn Cl Fe
1 1 2
Direct
0.432 0.432 0.582 Mn
0.411 0.411 0.219 Cl
0.696 0.696 0.772 Fe
0.961 0.961 0.927 Fe

MnFe2Cl | the Alexandria database | GGA-PBE | optimized geometry; energy above the most stable polymorph in this dataset = 1.986 eV/f.u.; formation energy from raw total energies = 0.65 eV/atom; final energy = -6.3376 eV per atom
1.0
-0.451 4.045 1.374
-4.272 -0.439 -0.110
0.026 -0.993 2.934
Fe Cl Mn
2 1 1
Direct
0.000 0.000 0.000 Fe
0.500 0.500 0.000 Fe
0.000 0.500 0.500 Cl
0.500 0.000 0.500 Mn

Mn2FeCl | the Alexandria database | GGA-PBE | optimized geometry; energy above the most stable polymorph in this dataset = 2.081 eV/f.u.; formation energy from raw total energies = 0.68 eV/atom; final energy = -6.4863 eV per atom
1.0
6.609 0.000 0.000
0.000 6.609 0.000
3.304 3.304 2.658
Fe Mn Cl
2 4 2
Direct
0.750 0.250 0.500 Fe
0.000 0.000 0.000 Fe
0.875 0.861 0.750 Mn
0.139 0.625 0.250 Mn
0.375 0.389 0.750 Mn
0.611 0.125 0.250 Mn
0.500 0.500 0.000 Cl
0.250 0.750 0.500 Cl

MnFe2Cl6 | the Alexandria database | GGA-PBE | optimized geometry; formation energy from raw total energies = -0.82 eV/atom; final energy = -4.9503 eV per atom
1.0
5.941 -0.095 -1.928
-3.127 9.301 0.008
-0.093 0.094 9.812
Cl Fe Mn
12 4 2
Direct
0.885 0.248 0.554 Cl
0.115 0.752 0.446 Cl
0.257 0.669 0.827 Cl
0.082 0.250 0.949 Cl
0.418 0.051 0.750 Cl
0.385 0.554 0.248 Cl
0.582 0.949 0.250 Cl
0.243 0.173 0.331 Cl
0.743 0.331 0.173 Cl
0.918 0.750 0.051 Cl
0.757 0.827 0.669 Cl
0.615 0.446 0.752 Cl
0.110 0.327 0.175 Fe
0.890 0.673 0.825 Fe
0.610 0.175 0.327 Fe
0.390 0.825 0.673 Fe
0.250 0.751 0.249 Mn
0.750 0.249 0.751 Mn

MnFeCl | the Alexandria database | GGA-PBE | optimized geometry; energy above the most stable polymorph in this dataset = 0.117 eV/f.u.; formation energy from raw total energies = 0.30 eV/atom; final energy = -6.1946 eV per atom
1.0
-6.129 -0.213 -0.337
-4.609 -4.057 0.134
5.248 2.340 2.168
Fe Cl Mn
1 1 1
Direct
0.336 0.336 0.000 Fe
0.976 0.976 0.000 Cl
0.688 0.688 0.000 Mn

MnFeCl5 | the Alexandria database | GGA-PBE | optimized geometry; formation energy from raw total energies = -0.84 eV/atom; final energy = -4.6781 eV per atom
1.0
6.535 0.030 -2.340
-0.978 6.462 -2.339
-0.062 -0.071 9.311
Cl Fe Mn
10 2 2
Direct
0.221 0.242 0.539 Cl
0.560 0.940 0.750 Cl
0.177 0.728 0.842 Cl
0.823 0.272 0.158 Cl
0.772 0.323 0.658 Cl
0.440 0.060 0.250 Cl
0.228 0.677 0.342 Cl
0.258 0.279 0.961 Cl
0.779 0.758 0.461 Cl
0.742 0.721 0.039 Cl
0.880 0.620 0.250 Fe
0.120 0.380 0.750 Fe
0.500 0.000 0.500 Mn
0.500 0.000 0.000 Mn

Mn2FeCl | the Alexandria database | GGA-PBE | optimized geometry; energy above the most stable polymorph in this dataset = 1.892 eV/f.u.; formation energy from raw total energies = 0.63 eV/atom; final energy = -6.5336 eV per atom
1.0
-0.083 -0.884 2.793
-1.622 -4.300 -1.408
4.168 -1.462 -0.339
Fe Mn Cl
1 2 1
Direct
0.000 0.500 0.500 Fe
0.500 0.500 0.000 Mn
0.000 0.000 0.000 Mn
0.500 0.000 0.500 Cl

MnFe2Cl | the Alexandria database | GGA-PBE | optimized geometry; energy above the most stable polymorph in this dataset = 0.297 eV/f.u.; formation energy from raw total energies = 0.23 eV/atom; final energy = -6.7598 eV per atom
1.0
-0.968 0.302 2.860
0.217 -3.001 0.390
6.713 0.769 2.191
Fe Mn Cl
2 1 1
Direct
0.000 0.000 0.090 Fe
0.500 0.500 0.256 Fe
0.000 0.000 0.473 Mn
0.500 0.500 0.681 Cl

MnFe2Cl | the Alexandria database | GGA-PBE | optimized geometry; energy above the most stable polymorph in this dataset = 1.623 eV/f.u.; formation energy from raw total energies = 0.56 eV/atom; final energy = -6.4283 eV per atom
1.0
-0.343 -0.913 -4.660
4.134 -1.184 2.043
-1.010 -2.538 0.572
Fe Mn Cl
2 1 1
Direct
0.500 0.500 0.000 Fe
0.000 0.000 0.000 Fe
0.500 0.000 0.500 Mn
0.000 0.500 0.500 Cl

MnFe2Cl | the Alexandria database | GGA-PBE | optimized geometry; energy above the most stable polymorph in this dataset = 0.000 eV/f.u.; formation energy from raw total energies = 0.15 eV/atom; final energy = -6.8340 eV per atom
1.0
2.949 0.000 0.000
0.000 3.063 0.005
0.000 -0.012 6.789
Fe Mn Cl
2 1 1
Direct
0.000 0.749 0.051 Fe
0.500 0.249 0.235 Fe
0.000 0.749 0.458 Mn
0.500 0.752 0.756 Cl

Mn2FeCl | the Alexandria database | GGA-PBE | optimized geometry; energy above the most stable polymorph in this dataset = 0.000 eV/f.u.; formation energy from raw total energies = 0.16 eV/atom; final energy = -7.0067 eV per atom
1.0
2.910 0.000 0.000
0.000 2.954 0.004
0.000 -0.003 6.883
Mn Fe Cl
2 1 1
Direct
0.000 0.250 0.954 Mn
0.000 0.250 0.546 Mn
0.500 0.750 0.750 Fe
0.500 0.250 0.250 Cl

MnFe2Cl | the Alexandria database | GGA-PBE | optimized geometry; energy above the most stable polymorph in this dataset = 0.546 eV/f.u.; formation energy from raw total energies = 0.29 eV/atom; final energy = -6.6975 eV per atom
1.0
-1.355 -0.830 -2.408
0.698 -2.183 1.753
-6.810 0.705 3.590
Fe Cl Mn
2 1 1
Direct
0.000 0.000 0.013 Fe
0.500 0.500 0.241 Fe
0.500 0.500 0.750 Cl
0.000 0.000 0.496 Mn

MnFe2Cl | the Alexandria database | GGA-PBE | optimized geometry; energy above the most stable polymorph in this dataset = 1.792 eV/f.u.; formation energy from raw total energies = 0.60 eV/atom; final energy = -6.3859 eV per atom
1.0
4.519 0.000 0.000
0.000 3.572 0.000
0.000 0.000 3.572
Fe Cl Mn
2 1 1
Direct
0.000 0.500 0.500 Fe
0.000 0.000 0.000 Fe
0.500 0.000 0.500 Cl
0.500 0.500 0.000 Mn

Mn2FeCl | the Alexandria database | GGA-PBE | optimized geometry; energy above the most stable polymorph in this dataset = 0.718 eV/f.u.; formation energy from raw total energies = 0.33 eV/atom; final energy = -6.8273 eV per atom
1.0
-2.294 0.065 -1.602
-0.225 -2.782 0.209
-3.994 0.756 5.753
Mn Fe Cl
2 1 1
Direct
0.000 0.000 0.995 Mn
0.500 0.500 0.230 Mn
0.500 0.500 0.766 Fe
0.000 0.000 0.510 Cl

MnFeCl4 | the Alexandria database | GGA-PBE | optimized geometry; formation energy from raw total energies = -0.87 eV/atom; final energy = -5.0426 eV per atom
1.0
-4.476 5.439 -2.361
-1.706 1.526 6.748
0.882 6.857 2.435
Cl Fe Mn
8 2 2
Direct
0.761 0.755 0.978 Cl
0.239 0.256 0.488 Cl
0.773 0.256 0.488 Cl
0.227 0.744 0.512 Cl
0.239 0.245 0.022 Cl
0.761 0.267 0.978 Cl
0.761 0.744 0.512 Cl
0.239 0.733 0.022 Cl
0.000 0.500 0.500 Fe
0.000 0.000 0.500 Fe
0.000 0.500 0.000 Mn
0.500 0.500 0.000 Mn

MnFe2Cl | the Alexandria database | GGA-PBE | optimized geometry; energy above the most stable polymorph in this dataset = 0.819 eV/f.u.; formation energy from raw total energies = 0.36 eV/atom; final energy = -6.6293 eV per atom
1.0
-5.965 5.536 -0.130
-6.055 4.625 -2.862
-7.454 3.166 -0.810
Fe Mn Cl
2 1 1
Direct
0.497 0.497 0.497 Fe
0.003 0.003 0.003 Fe
0.250 0.250 0.250 Mn
0.750 0.750 0.750 Cl

Mn2FeCl | the Alexandria database | GGA-PBE | optimized geometry; energy above the most stable polymorph in this dataset = 2.766 eV/f.u.; formation energy from raw total energies = 0.85 eV/atom; final energy = -6.3152 eV per atom
1.0
-1.497 -4.125 -0.256
0.385 -2.696 3.451
-3.572 -1.187 2.271
Mn Fe Cl
2 1 1
Direct
0.000 0.000 0.000 Mn
0.250 0.250 0.250 Mn
0.750 0.750 0.750 Fe
0.500 0.500 0.500 Cl

Mn2FeCl | the Alexandria database | GGA-PBE | optimized geometry; energy above the most stable polymorph in this dataset = 0.393 eV/f.u.; formation energy from raw total energies = 0.25 eV/atom; final energy = -6.9083 eV per atom
1.0
3.017 0.000 0.000
0.000 3.017 0.000
0.000 0.000 6.731
Cl Mn Fe
1 2 1
Direct
0.500 0.500 0.250 Cl
0.000 0.000 0.534 Mn
0.000 0.000 0.966 Mn
0.500 0.500 0.750 Fe

MnFe4Cl | the Alexandria database | GGA-PBE | optimized geometry; formation energy from raw total energies = 0.62 eV/atom; final energy = -6.8556 eV per atom
1.0
0.000 3.510 3.510
3.510 0.000 3.510
3.510 3.510 0.000
Fe Cl Mn
4 1 1
Direct
0.869 0.377 0.377 Fe
0.377 0.377 0.377 Fe
0.377 0.377 0.869 Fe
0.377 0.869 0.377 Fe
0.000 0.000 0.000 Cl
0.750 0.750 0.750 Mn

MnFeCl | the Alexandria database | GGA-PBE | optimized geometry; energy above the most stable polymorph in this dataset = 1.551 eV/f.u.; formation energy from raw total energies = 0.78 eV/atom; final energy = -5.7166 eV per atom
1.0
3.986 0.000 0.000
1.993 3.452 0.000
1.993 1.151 3.255
Mn Cl Fe
1 1 1
Direct
0.000 0.000 0.000 Mn
0.500 0.500 0.500 Cl
0.750 0.750 0.750 Fe

Mn2FeCl | the Alexandria database | GGA-PBE | optimized geometry; energy above the most stable polymorph in this dataset = 0.476 eV/f.u.; formation energy from raw total energies = 0.27 eV/atom; final energy = -6.8876 eV per atom
1.0
2.795 0.000 0.000
0.000 2.818 -0.007
0.000 1.423 7.095
Mn Cl Fe
2 1 1
Direct
0.000 0.939 0.997 Mn
0.500 0.322 0.232 Mn
0.000 0.690 0.494 Cl
0.500 0.549 0.777 Fe

MnFeCl | the Alexandria database | GGA-PBE | optimized geometry; energy above the most stable polymorph in this dataset = 0.832 eV/f.u.; formation energy from raw total energies = 0.54 eV/atom; final energy = -5.9561 eV per atom
1.0
-1.673 -2.465 -2.910
0.857 -1.526 3.779
-2.694 0.750 0.914
Fe Mn Cl
1 1 1
Direct
0.333 0.667 0.157 Fe
0.667 0.333 0.702 Mn
0.000 0.000 0.142 Cl

MnFeCl4 | the Alexandria database | GGA-PBE | optimized geometry; formation energy from raw total energies = 0.96 eV/atom; final energy = -3.2052 eV per atom
1.0
0.000 4.101 4.101
4.101 0.000 4.101
4.101 4.101 0.000
Cl Mn Fe
4 1 1
Direct
0.375 0.375 0.875 Cl
0.375 0.375 0.375 Cl
0.375 0.875 0.375 Cl
0.875 0.375 0.375 Cl
0.000 0.000 0.000 Mn
0.750 0.750 0.750 Fe